[1]
16
Lattice="-1.796 -7.680 -3.031 -2.287 -2.957 8.850 -4.194 6.752 -2.846" Properties=species:S:1:pos:R:3 comment="Ac8Ru3Br4N, optimized geometry, DFT PBE" m_tot_mub_per_fu=0.0 spacegroup="No. 12" dos_at_fermi_per_ev_atom=0.450 total_energy_ev_per_atom=-5.669 e_form_raw_ev_per_atom=-0.937 pbc="T T T"
Ac -5.999 2.776 2.645
Ac -3.811 -0.739 4.131
Ac -3.382 0.669 0.308
Ac -6.933 -1.217 1.069
Ac -1.344 -2.668 1.904
Ac -4.895 -4.555 2.665
Ac -4.466 -3.146 -1.159
Ac -2.278 -6.662 0.328
Ru -2.042 -5.319 2.910
Ru -4.139 -1.943 1.486
Ru -3.241 1.897 3.002
Br -0.898 -3.840 -1.515
Br -2.995 -0.464 -2.939
Br 0.000 0.000 0.000
Br -2.097 3.376 -1.423
N -1.144 -1.479 4.425

[2]
5
Lattice="-3.931 -0.555 1.653 1.588 -2.826 2.826 0.722 3.194 2.788" Properties=species:S:1:pos:R:3 comment="V3CoAs, optimized geometry, DFT PBE" de_polymorph_mev_per_atom=0 m_tot_mub_per_fu=0.0 formation_energy_mev_per_atom=608 spacegroup="No. 221" dos_at_fermi_per_ev_atom=1.261 total_energy_ev_per_atom=-7.215 pbc="T T T"
As -0.811 -0.094 3.634
Co 0.000 0.000 0.000
V 0.794 -1.413 1.413
V 0.361 1.597 1.394
V -1.966 -0.278 0.827

[3]
4
Lattice="-0.603 3.188 -2.212 -2.350 -0.204 -3.139 -8.391 3.335 3.610" Properties=species:S:1:pos:R:3 comment="Sm2TmAs, optimized geometry, DFT PBE" m_tot_mub_per_fu=1.1 formation_energy_mev_per_atom=-552 spacegroup="No. 166" dos_at_fermi_per_ev_atom=1.248 total_energy_ev_per_atom=-5.192 pbc="T T T"
As 0.000 0.000 0.000
Tm -5.672 3.159 -0.871
Sm -2.377 1.434 -0.770
Sm -8.968 4.884 -0.971

[4]
4
Lattice="-3.186 -4.367 0.650 -0.505 -5.325 -1.014 1.814 -3.426 4.896" Properties=species:S:1:pos:R:3 comment="TcPb2Se, optimized geometry, DFT PBE" de_polymorph_mev_per_atom=116 m_tot_mub_per_fu=0.0 spacegroup="No. 8" dos_at_fermi_per_ev_atom=0.822 total_energy_ev_per_atom=-5.191 e_form_raw_ev_per_atom=0.126 pbc="T T T"
Pb 1.317 -3.602 4.197
Pb -0.343 -3.063 1.211
Se -0.556 -5.812 2.452
Tc -1.419 -10.625 3.834

[5]
5
Lattice="5.154 0.000 0.000 0.000 4.534 0.000 0.000 0.000 5.154" Properties=species:S:1:pos:R:3 comment="CaAlRuAu2, optimized geometry, DFT PBE" m_tot_mub_per_fu=0.0 formation_energy_mev_per_atom=31 spacegroup="No. 123" dos_at_fermi_per_ev_atom=0.623 total_energy_ev_per_atom=-4.284 pbc="T T T"
Ru 0.000 0.000 0.000
Ca 2.577 2.267 2.577
Au 0.000 0.000 2.577
Au 2.577 0.000 0.000
Al 0.000 2.267 0.000

[6]
20
Lattice="-2.868 1.246 -4.217 -3.940 -8.343 0.214 -6.487 6.543 6.345" Properties=species:S:1:pos:R:3 comment="YEr3Mg6, optimized geometry, DFT PBE" m_tot_mub_per_fu=0.0 formation_energy_mev_per_atom=-63 spacegroup="No. 11" dos_at_fermi_per_ev_atom=0.973 total_energy_ev_per_atom=-3.035 pbc="T T T"
Y -8.365 -3.656 2.975
Y -4.929 3.103 -0.632
Er -5.441 -1.621 1.587
Er -7.854 1.068 0.755
Er -7.280 2.595 4.084
Er -6.015 -3.149 -1.741
Er -3.695 -5.898 -0.864
Er -9.599 5.345 3.207
Mg -3.119 -2.719 -0.316
Mg -10.175 2.165 2.659
Mg -2.559 0.377 0.218
Mg -10.736 -0.930 2.125
Mg -7.890 -0.552 3.569
Mg -5.405 -0.001 -1.226
Mg -4.881 1.497 2.128
Mg -8.413 -2.051 0.214
Mg -6.040 -4.838 1.044
Mg -7.254 4.285 1.299
Mg -6.760 5.820 4.683
Mg -6.535 -6.373 -2.341

[7]
14
Lattice="-2.190 5.595 0.900 -4.281 -2.430 4.690 9.079 -1.128 7.703" Properties=species:S:1:pos:R:3 comment="Pr2Nd4Mg, optimized geometry, DFT PBE" de_polymorph_mev_per_atom=0 m_tot_mub_per_fu=0.0 formation_energy_mev_per_atom=73 spacegroup="No. 11" dos_at_fermi_per_ev_atom=1.422 total_energy_ev_per_atom=-4.245 pbc="T T T"
Pr -4.353 1.394 4.141
Pr 6.961 0.643 9.151
Pr 2.215 0.461 4.725
Pr 0.393 1.576 8.568
Nd -0.959 2.061 5.083
Nd 2.587 2.752 11.179
Nd 0.021 -0.715 2.113
Nd 1.149 3.257 2.773
Nd 2.146 3.525 6.249
Nd 1.460 -1.220 10.519
Nd 3.568 -0.024 8.209
Nd 0.462 -1.488 7.043
Mg -1.984 -1.243 4.938
Mg 4.592 3.280 8.355

[8]
10
Lattice="-1.827 -3.947 0.431 0.893 0.054 4.278 -10.441 5.064 2.115" Properties=species:S:1:pos:R:3 comment="Pm2GaSn4Pd3, optimized geometry, DFT PBE" m_tot_mub_per_fu=0.0 formation_energy_mev_per_atom=-669 spacegroup="No. 115" dos_at_fermi_per_ev_atom=0.289 total_energy_ev_per_atom=-5.081 pbc="T T T"
Pm -3.547 -0.696 0.749
Pm -7.362 3.814 3.721
Ga -5.688 0.586 3.412
Sn -0.467 -1.946 2.355
Sn 0.000 0.000 0.000
Sn -7.597 1.268 1.570
Sn -3.311 1.850 2.900
Pd -5.221 2.532 1.058
Pd -9.894 2.383 2.035
Pd -1.014 0.736 2.435